[1]
The following is a DFT calculation (PBE-GGA) of crystalline TbEr2Pb at its relaxed geometry.

Energy relative to the lowest polymorph listed for this composition in eV/atom: 0.0858
Calculated total energy in eV per atom: -4.5697
Magnetic moment in μB/cell: 0.00
Space group: P4/mmm

a = 3.6189 Å, b = 3.6189 Å, c = 9.1659 Å
α = 90.00°, β = 90.00°, γ = 90.00°
Fractional positions:
Er: 0.0000 0.0000 0.2350
Pb: 0.5000 0.5000 0.0000
Tb: 0.5000 0.5000 0.5000
Er: 0.0000 0.0000 0.7650

[2]
The following is a DFT calculation (PBE-GGA) of crystalline Cs2SbHBr6 at its relaxed geometry.

Calculated total energy in eV per atom: -2.7538
Magnetic moment in μB/cell: 0.00
Space group: I4/mmm

a = 7.4000 Å, b = 7.4000 Å, c = 8.0920 Å
α = 62.79°, β = 62.79°, γ = 90.00°
Fractional positions:
Sb: 0.0000 0.0000 0.0000
Br: 0.7333 0.7333 0.0000
Br: 0.2667 0.7333 0.0000
Br: 0.7747 0.7747 0.4506
Br: 0.2667 0.2667 0.0000
Cs: 0.7500 0.2500 0.5000
Br: 0.7333 0.2667 0.0000
Cs: 0.2500 0.7500 0.5000
Br: 0.2253 0.2253 0.5494
H: 0.5000 0.5000 0.0000

[3]
The following is a DFT calculation (PBE-GGA) of crystalline Sr3TeO at its relaxed geometry.

Energy relative to the lowest polymorph listed for this composition in eV/atom: 0.0000
Calculated total energy in eV per atom: -4.0705
Raw formation energy in kcal/mol of atoms: -33.24
Magnetic moment in μB/cell: 0.00
Space group: Pm-3m

a = 5.1991 Å, b = 5.1991 Å, c = 5.1991 Å
α = 90.00°, β = 90.00°, γ = 90.00°
Fractional positions:
O: 0.0000 0.0000 0.0000
Sr: 0.0000 0.5000 0.0000
Sr: 0.5000 0.0000 0.0000
Te: 0.5000 0.5000 0.5000
Sr: 0.0000 0.0000 0.5000